No. 1
# PrDyEr5Sc2

A relaxed PrDyEr5Sc2 crystal (GGA-PBE, Alexandria via LeMat-Bulk).

```
PrDyEr5Sc2
1.0
-0.586 -5.469 -0.885
8.933 0.830 6.492
-5.401 -0.638 7.515
Er Pr Dy Sc
10 2 2 4
Direct
0.735 0.469 0.834
0.265 0.531 0.334
0.532 0.063 0.249
0.008 0.015 0.019
0.992 0.985 0.519
0.691 0.383 0.220
0.468 0.937 0.749
0.309 0.617 0.720
0.393 0.785 0.046
0.607 0.215 0.546
0.185 0.371 0.018
0.815 0.629 0.518
0.596 0.192 0.918
0.404 0.808 0.418
0.887 0.774 0.825
0.113 0.226 0.325
0.140 0.281 0.695
0.860 0.719 0.195
```

Values from the calculation:
* Fermi-level density of states: 1.458 states/eV/atom
* ΔE_f: 0.173 eV per atom
* mass density: 7.37 g cm⁻³

=====

No. 2
# PrDy3Er6Sc2

A relaxed PrDy3Er6Sc2 crystal (GGA-PBE, Alexandria via LeMat-Bulk).

```
PrDy3Er6Sc2
1.0
6.042 0.001 0.009
-3.018 5.234 0.009
-1.019 -1.764 11.411
Dy Er Pr Sc
3 6 1 2
Direct
0.833 0.167 0.500
0.167 0.833 0.500
0.500 0.500 0.500
0.746 0.746 0.247
0.917 0.581 0.753
0.419 0.083 0.247
0.254 0.254 0.753
0.581 0.917 0.753
0.083 0.419 0.247
0.000 0.000 0.000
0.667 0.333 0.000
0.333 0.667 0.000
```

Values from the calculation:
* Fermi-level density of states: 1.379 states/eV/atom
* ΔE_f: 0.038 eV per atom
* mass density: 7.92 g cm⁻³

=====

No. 3
# Pr2Dy5ErSc

A relaxed Pr2Dy5ErSc crystal (GGA-PBE, Alexandria via LeMat-Bulk).

```
Pr2Dy5ErSc
1.0
-1.570 -5.306 -0.435
2.300 3.019 -9.729
9.832 -3.022 1.387
Dy Pr Sc Er
10 4 2 2
Direct
0.626 0.253 0.519
0.702 0.404 0.202
0.374 0.747 0.019
0.015 0.030 0.016
0.298 0.596 0.702
0.484 0.967 0.742
0.275 0.549 0.320
0.725 0.451 0.820
0.985 0.970 0.516
0.516 0.033 0.242
0.885 0.769 0.235
0.115 0.231 0.735
0.114 0.227 0.314
0.886 0.773 0.814
0.805 0.609 0.514
0.195 0.391 0.014
0.594 0.187 0.961
0.406 0.813 0.461
```

Values from the calculation:
* Fermi-level density of states: 1.400 states/eV/atom
* ΔE_f: 0.151 eV per atom
* mass density: 7.48 g cm⁻³

=====

> Which value of Fermi-level density of states does entry 1 give?

1.458 states/eV/atom

=====

> Among the records above, which one has the highest ΔE_f?

PrDyEr5Sc2

=====

> Which formula does entry 1 have?

PrDyEr5Sc2